Entry 1:
DFT (GGA-PBE) results for MnSnIrS after structural relaxation.

a = 5.900 Å, b = 3.032 Å, c = 7.741 Å
α = 90.00°, β = 92.74°, γ = 90.00°
Last column: magnetic moment on the atom in μB.
Positions (direct):
1 Ir 0.522 0.500 0.534  -0.14
2 Sn 0.781 0.000 0.329  -0.07
3 Ir 0.522 0.000 0.034  -0.14
4 Mn 0.233 0.000 0.317  1.87
5 Sn 0.781 0.500 0.829  -0.07
6 S 0.219 0.500 0.109  -0.07
7 Mn 0.233 0.500 0.817  1.87
8 S 0.219 0.000 0.609  -0.07

- Formation energy (no corrections): -0.101 eV per atom
- Uncorrected energy: -53.13 eV for the cell shown
- Space group: Cm
- Offset from the most stable computed form: 0.096 eV per atom

Entry 2:
DFT (GGA-PBE) results for RbS after structural relaxation.

a = 4.866 Å, b = 4.516 Å, c = 6.859 Å
α = 90.00°, β = 90.43°, γ = 90.00°
Positions (direct):
1 Rb 0.500 0.500 0.500
2 S 0.998 0.000 0.345
3 Rb 0.000 0.500 0.000
4 S 0.002 0.000 0.655

- Formation energy (no corrections): -0.829 eV per atom
- Uncorrected energy: -13.51 eV for the cell shown
- Space group: P2/m

Entry 3:
DFT (GGA-PBE) results for CaPt2 after structural relaxation.

a = 6.627 Å, b = 6.627 Å, c = 6.627 Å
α = 154.18°, β = 154.18°, γ = 36.84°
Positions (direct):
1 Pt 0.327 0.327 0.000
2 Pt 0.673 0.673 0.000
3 Ca 0.000 0.000 0.000

- Uncorrected energy: -15.37 eV for the cell shown
- ΔH_f (0 K): -1.3 eV per formula unit
- Space group: I4/mmm

Entry 4:
DFT (GGA-PBE) results for HfTl3P after structural relaxation.

a = 5.612 Å, b = 5.612 Å, c = 5.612 Å
α = 90.00°, β = 90.00°, γ = 90.00°
Positions (direct):
1 Tl 0.000 0.000 0.500
2 Hf 0.000 0.000 0.000
3 Tl 0.000 0.500 0.000
4 P 0.500 0.500 0.500
5 Tl 0.500 0.000 0.000

- Uncorrected energy: -17.34 eV for the cell shown
- ΔH_f (0 K): 5.1 eV per formula unit
- Space group: Pm-3m
- Offset from the most stable computed form: 0.105 eV per atom

Entry 5:
DFT (GGA-PBE) results for La2MnCu after structural relaxation.

a = 5.728 Å, b = 5.728 Å, c = 5.728 Å
α = 134.53°, β = 134.53°, γ = 66.26°
Last column: magnetic moment on the atom in μB.
Positions (direct):
1 La 0.250 0.750 0.500  0.24
2 Cu 0.750 0.250 0.500  0.01
3 Mn 0.500 0.500 0.000  -3.43
4 La 0.000 0.000 0.000  0.28

- Uncorrected energy: -22.22 eV for the cell shown
- ΔH_f (0 K): 0.9 eV per formula unit
- Space group: I-4m2

Entry 6:
DFT (GGA-PBE) results for Er8Os2Pd after structural relaxation.

a = 4.720 Å, b = 6.959 Å, c = 9.060 Å
α = 106.73°, β = 105.10°, γ = 90.00°
Positions (direct):
1 Er 0.671 0.962 0.342
2 Er 0.599 0.471 0.198
3 Os 0.185 0.703 0.371
4 Os 0.815 0.297 0.629
5 Pd 0.500 0.000 0.000
6 Er 0.206 0.315 0.412
7 Er 0.401 0.529 0.802
8 Er 0.329 0.038 0.658
9 Er 0.794 0.685 0.588
10 Er 0.968 0.217 0.936
11 Er 0.032 0.783 0.064

- Uncorrected energy: -67.87 eV for the cell shown
- ΔH_f (0 K): -3.7 eV per formula unit
- Space group: C2/m
- Offset from the most stable computed form: 0.000 eV per atom

Entry 7:
DFT (GGA-PBE) results for Sm3DyTm2S6 after structural relaxation.

a = 6.788 Å, b = 6.788 Å, c = 6.879 Å
α = 99.44°, β = 99.44°, γ = 120.18°
Positions (direct):
1 Tm 0.666 0.334 0.000
2 Tm 0.334 0.666 0.000
3 Sm 0.165 0.835 0.500
4 S 0.584 0.921 0.764
5 S 0.259 0.259 0.765
6 S 0.079 0.416 0.236
7 S 0.921 0.584 0.764
8 Sm 0.835 0.165 0.500
9 S 0.416 0.079 0.236
10 S 0.741 0.741 0.235
11 Sm 0.500 0.500 0.500
12 Dy 0.000 0.000 0.000

- Formation energy (no corrections): -1.995 eV per atom
- Uncorrected energy: -76.41 eV for the cell shown
- Space group: C2/m

Entry 8:
DFT (GGA-PBE) results for Na2AgH after structural relaxation.

a = 3.002 Å, b = 3.002 Å, c = 7.621 Å
α = 90.00°, β = 90.00°, γ = 90.00°
Positions (direct):
1 Ag 0.500 0.500 0.500
2 Na 0.000 0.000 0.192
3 H 0.500 0.500 0.000
4 Na 0.000 0.000 0.808

- Uncorrected energy: -8.86 eV for the cell shown
- Space group: P4/mmm
- Offset from the most stable computed form: 0.026 eV per atom

Entry 9:
DFT (GGA-PBE) results for RbMg2AlIr after structural relaxation.

a = 5.222 Å, b = 5.222 Å, c = 4.820 Å
α = 90.00°, β = 90.00°, γ = 90.00°
Positions (direct):
1 Al 0.000 0.000 0.500
2 Ir 0.000 0.000 0.000
3 Mg 0.000 0.500 0.000
4 Mg 0.500 0.000 0.000
5 Rb 0.500 0.500 0.500

- Uncorrected energy: -17.78 eV for the cell shown
- ΔH_f (0 K): -1.0 eV per formula unit
- Space group: P4/mmm

Entry 10:
DFT (GGA-PBE) results for La3GeTeCl after structural relaxation.

a = 4.523 Å, b = 8.900 Å, c = 9.800 Å
α = 100.19°, β = 90.00°, γ = 90.00°
Last column: magnetic moment on the atom in μB.
Positions (direct):
1 La 0.750 0.423 0.155  0.06
2 Ge 0.250 0.659 0.159  0.00
3 Ge 0.750 0.341 0.841  0.00
4 La 0.250 0.577 0.845  0.06
5 La 0.250 0.724 0.470  0.21
6 Cl 0.250 0.097 0.576  0.00
7 Cl 0.750 0.903 0.424  0.00
8 La 0.750 0.884 0.134  0.00
9 La 0.750 0.276 0.530  0.21
10 Te 0.750 0.830 0.784  0.00
11 La 0.250 0.116 0.866  0.00
12 Te 0.250 0.170 0.216  0.00

- Formation energy (no corrections): -1.281 eV per atom
- Uncorrected energy: -64.14 eV for the cell shown
- Space group: P2_1/m

Entry 11:
DFT (GGA-PBE) results for Ta2TcGeSb after structural relaxation.

a = 4.778 Å, b = 4.587 Å, c = 4.778 Å
α = 90.00°, β = 90.00°, γ = 90.00°
Last column: magnetic moment on the atom in μB.
Positions (direct):
1 Ta 0.000 0.000 0.500  0.00
2 Tc 0.000 0.500 0.000  0.65
3 Ta 0.500 0.000 0.000  0.00
4 Sb 0.500 0.500 0.500  0.01
5 Ge 0.000 0.000 0.000  -0.01

- Formation energy (no corrections): 1.049 eV per atom
- Uncorrected energy: -37.57 eV for the cell shown
- Space group: P4/mmm

Entry 12:
DFT (GGA-PBE) results for ZrCu2Hg2 after structural relaxation.

a = 7.658 Å, b = 7.658 Å, c = 3.038 Å
α = 90.00°, β = 90.00°, γ = 90.00°
Positions (direct):
1 Hg 0.177 0.677 0.500
2 Hg 0.677 0.823 0.500
3 Cu 0.119 0.381 0.000
4 Cu 0.381 0.881 0.000
5 Hg 0.323 0.177 0.500
6 Zr 0.000 0.000 0.000
7 Cu 0.881 0.619 0.000
8 Zr 0.500 0.500 0.000
9 Cu 0.619 0.119 0.000
10 Hg 0.823 0.323 0.500

- Uncorrected energy: -33.83 eV for the cell shown
- ΔH_f (0 K): 0.4 eV per formula unit
- Space group: P4/mbm
- Offset from the most stable computed form: 0.000 eV per atom

Entry 13:
DFT (GGA-PBE) results for Rb5PSe4Br2 after structural relaxation.

a = 8.314 Å, b = 7.120 Å, c = 10.283 Å
α = 90.00°, β = 90.00°, γ = 125.72°
Positions (direct):
1 Br 0.413 0.480 0.500
2 Rb 0.121 0.395 0.765
3 Se 0.547 0.000 0.177
4 Se 0.384 0.309 0.000
5 Rb 0.725 0.605 0.235
6 Rb 0.725 0.605 0.765
7 Rb 0.425 0.000 0.500
8 Rb 0.121 0.395 0.235
9 Se 0.547 0.000 0.823
10 P 0.390 0.000 0.000
11 Br 0.933 0.520 0.500
12 Se 0.074 0.691 0.000

- Formation energy (no corrections): -1.121 eV per atom
- Uncorrected energy: -40.98 eV for the cell shown
- Space group: Amm2

Entry 14:
DFT (GGA-PBE) results for Pm5Th2Ge4 after structural relaxation.

a = 3.873 Å, b = 6.037 Å, c = 18.338 Å
α = 132.13°, β = 96.06°, γ = 90.00°
Positions (direct):
1 Ge 0.910 0.662 0.819
2 Pm 0.208 0.050 0.416
3 Pm 0.792 0.950 0.584
4 Ge 0.090 0.338 0.181
5 Ge 0.378 0.282 0.756
6 Pm 0.342 0.645 0.683
7 Th 0.942 0.278 0.883
8 Ge 0.622 0.718 0.244
9 Pm 0.658 0.355 0.317
10 Th 0.058 0.722 0.117
11 Pm 0.500 0.000 0.000

- Uncorrected energy: -61.97 eV for the cell shown
- ΔH_f (0 K): -4.9 eV per formula unit
- Space group: C2/m

Entry 15:
DFT (GGA-PBE) results for HoU2SiC4 after structural relaxation.

a = 3.509 Å, b = 5.905 Å, c = 11.589 Å
α = 90.00°, β = 90.00°, γ = 107.29°
Last column: magnetic moment on the atom in μB.
Positions (direct):
1 C 0.429 0.858 0.750  -0.03
2 U 0.372 0.743 0.551  1.10
3 U 0.628 0.257 0.449  1.10
4 Si 0.839 0.678 0.750  0.00
5 C 0.736 0.473 0.624  -0.03
6 U 0.372 0.743 0.949  1.10
7 C 0.000 0.000 0.000  -0.07
8 C 0.571 0.142 0.250  -0.03
9 Ho 0.106 0.213 0.750  -0.01
10 Si 0.161 0.322 0.250  0.00
11 C 0.736 0.473 0.876  -0.03
12 C 0.264 0.527 0.376  -0.03
13 C 0.264 0.527 0.124  -0.03
14 Ho 0.894 0.787 0.250  -0.01
15 U 0.628 0.257 0.051  1.10
16 C 0.000 0.000 0.500  -0.07

- Formation energy (no corrections): -0.131 eV per atom
- Uncorrected energy: -141.04 eV for the cell shown
- Space group: Cmcm

Entry 16:
DFT (GGA-PBE) results for Sr4SmSe5 after structural relaxation.

a = 6.190 Å, b = 7.588 Å, c = 7.588 Å
α = 80.42°, β = 65.93°, γ = 65.93°
Positions (direct):
1 Sr 0.801 0.797 0.602
2 Sr 0.403 0.398 0.797
3 Sr 0.598 0.602 0.203
4 Se 0.501 0.000 0.000
5 Se 0.098 0.613 0.193
6 Sr 0.201 0.203 0.398
7 Sm 0.001 0.000 0.000
8 Se 0.711 0.193 0.387
9 Se 0.291 0.807 0.613
10 Se 0.904 0.387 0.807

- Formation energy (no corrections): -1.986 eV per atom
- Uncorrected energy: -48.73 eV for the cell shown
- Space group: I4/m

Entry 17:
DFT (GGA-PBE) results for La2Be2Co after structural relaxation.

a = 6.500 Å, b = 6.500 Å, c = 4.503 Å
α = 90.00°, β = 90.00°, γ = 90.00°
Last column: magnetic moment on the atom in μB.
Positions (direct):
1 Co 0.000 0.000 0.000  0.66
2 Be 0.128 0.372 0.000  -0.01
3 Be 0.372 0.872 0.000  -0.01
4 Co 0.500 0.500 0.000  0.66
5 La 0.822 0.322 0.500  -0.01
6 La 0.178 0.678 0.500  -0.01
7 Be 0.872 0.628 0.000  -0.01
8 La 0.678 0.822 0.500  -0.01
9 La 0.322 0.178 0.500  -0.01
10 Be 0.628 0.128 0.000  -0.01

- Uncorrected energy: -46.00 eV for the cell shown
- ΔH_f (0 K): 1.4 eV per formula unit
- Space group: P4/mbm

Entry 18:
DFT (GGA-PBE) results for NdSmTeO2 after structural relaxation.

a = 4.187 Å, b = 6.995 Å, c = 8.033 Å
α = 106.67°, β = 90.00°, γ = 90.00°
Positions (direct):
1 Sm 0.750 0.336 0.588
2 O 0.250 0.495 0.620
3 Te 0.250 0.051 0.757
4 Sm 0.250 0.664 0.412
5 Nd 0.250 0.674 0.923
6 Te 0.750 0.949 0.243
7 O 0.750 0.517 0.875
8 O 0.250 0.483 0.125
9 O 0.750 0.505 0.380
10 Nd 0.750 0.326 0.077

- Formation energy (no corrections): -2.893 eV per atom
- Uncorrected energy: -74.02 eV for the cell shown
- Space group: P2_1/m

Entry 19:
DFT (GGA-PBE) results for Sc2Mo after structural relaxation.

a = 5.509 Å, b = 5.509 Å, c = 5.509 Å
α = 60.00°, β = 60.00°, γ = 60.00°
Positions (direct):
1 Sc 0.125 0.625 0.625
2 Mo 0.250 0.250 0.250
3 Sc 0.625 0.125 0.625
4 Sc 0.625 0.625 0.625
5 Mo 0.000 0.000 0.000
6 Sc 0.625 0.625 0.125

- Uncorrected energy: -42.61 eV for the cell shown
- ΔH_f (0 K): 2.2 eV per formula unit
- Space group: Fd-3m
- Offset from the most stable computed form: 0.715 eV per atom

Entry 20:
DFT (GGA-PBE) results for BaIn5Au3 after structural relaxation.

a = 4.544 Å, b = 7.627 Å, c = 14.403 Å
α = 90.00°, β = 90.00°, γ = 107.33°
Positions (direct):
1 Ba 0.160 0.320 0.250
2 Au 0.383 0.766 0.560
3 In 0.000 0.000 0.500
4 Au 0.617 0.234 0.060
5 Ba 0.840 0.680 0.750
6 Au 0.874 0.747 0.250
7 In 0.000 0.000 0.000
8 In 0.556 0.112 0.648
9 In 0.804 0.608 0.066
10 Au 0.126 0.253 0.750
11 In 0.196 0.392 0.934
12 Au 0.617 0.234 0.440
13 In 0.444 0.888 0.148
14 In 0.556 0.112 0.852
15 In 0.196 0.392 0.566
16 Au 0.383 0.766 0.940
17 In 0.804 0.608 0.434
18 In 0.444 0.888 0.352

- Uncorrected energy: -56.98 eV for the cell shown
- ΔH_f (0 K): -3.0 eV per formula unit
- Space group: Cmcm